# HfGaAu, relaxed, DFT PBE
# D(E_F): 3.75 states/eV per cell
# Energy of formation: -33.8 kJ per mole of atoms
# M_tot: 0.6 μB per cell
data_HfGaAu
_chemical_formula_sum 'Hf2 Ga2 Au2'
_cell_length_a 4.0108
_cell_length_b 4.0108
_cell_length_c 7.0695
_cell_angle_alpha 90.00
_cell_angle_beta 90.00
_cell_angle_gamma 90.00
_space_group_name_H-M_alt 'P 4/n m m'
_space_group_IT_number 129
loop_
_space_group_symop_operation_xyz
'x,y,z'
'-x,-y,-z'
'-y+1/2,x,z'
'y+1/2,-x,-z'
'-x+1/2,-y+1/2,z'
'x+1/2,y+1/2,-z'
'y,-x+1/2,z'
'-y,x+1/2,-z'
'x+1/2,-y,-z'
'-x+1/2,y,z'
'-y,-x,-z'
'y,x,z'
'-x,y+1/2,-z'
'x,-y+1/2,z'
'y+1/2,x+1/2,-z'
'-y+1/2,-x+1/2,z'
loop_
_atom_site_label
_atom_site_type_symbol
_atom_site_fract_x
_atom_site_fract_y
_atom_site_fract_z
Hf1 Hf 0.2500 0.2500 0.1496
Ga1 Ga 0.2500 0.7500 0.5000
Au1 Au 0.2500 0.2500 0.7628


# TlCdOs2, relaxed, DFT PBE
# D(E_F): 5.47 states/eV per cell
# Energy of formation: 110.8 kJ per mole of atoms
# M_tot: 1.9 μB per cell
data_TlCdOs2
_chemical_formula_sum 'Tl1 Cd1 Os2'
_cell_length_a 2.9000
_cell_length_b 2.9000
_cell_length_c 8.4943
_cell_angle_alpha 90.00
_cell_angle_beta 90.00
_cell_angle_gamma 90.00
_space_group_name_H-M_alt 'P 4/m m m'
_space_group_IT_number 123
_space_group_name_Hall '-P 4 2'
loop_
_atom_site_label
_atom_site_type_symbol
_atom_site_fract_x
_atom_site_fract_y
_atom_site_fract_z
Tl1 Tl 0.0000 0.0000 0.0000
Cd1 Cd 0.0000 0.0000 0.5000
Os1 Os 0.5000 0.5000 0.2526


# TcGeBi2Pd, relaxed, DFT PBE
# D(E_F): 4.40 states/eV per cell
# Energy of formation: 80.5 kJ per mole of atoms
# Excess energy over the best structure of this formula in the dataset: 0.0000 eV/atom
# M_tot: 0.0 μB per cell
data_TcGeBi2Pd
_chemical_formula_sum 'Tc1 Ge1 Bi2 Pd1'
_cell_length_a 5.2171
_cell_length_b 5.2171
_cell_length_c 5.0140
_cell_angle_alpha 90.00
_cell_angle_beta 90.00
_cell_angle_gamma 90.00
_space_group_name_H-M_alt 'P 4/m m m'
_space_group_IT_number 123
_space_group_name_Hall '-P 4 2'
loop_
_atom_site_label
_atom_site_type_symbol
_atom_site_fract_x
_atom_site_fract_y
_atom_site_fract_z
Tc1 Tc 0.0000 0.0000 0.0000
Ge1 Ge 0.5000 0.5000 0.5000
Bi1 Bi 0.0000 0.5000 0.0000
Pd1 Pd 0.0000 0.0000 0.5000